# Tb2VHg

A geometry-optimized Tb2VHg structure (PBE, the Alexandria database).

Cell and atoms, written as extended XYZ:
```
4
Lattice="3.640 0.000 0.000 0.000 3.640 0.000 0.000 0.000 7.458" Properties=species:S:1:pos:R:3 pbc="T T T"
Tb 0.000 0.000 5.717
Tb 0.000 0.000 1.741
Hg 1.820 1.820 3.729
V 1.820 1.820 0.000
```

Results
ΔE_f = -0.055 eV/atom

# Tb8CeNd2

A geometry-optimized Tb8CeNd2 structure (PBE, the Alexandria database).

Cell and atoms, written as extended XYZ:
```
11
Lattice="5.580 -0.639 -0.447 0.809 9.807 2.599 0.809 5.815 8.313" Properties=species:S:1:pos:R:3 pbc="T T T"
Tb 2.089 4.680 5.271
Tb 2.089 6.560 2.580
Tb 5.108 10.303 5.195
Tb 2.204 8.378 5.852
Tb 5.108 8.423 7.886
Tb 1.598 2.736 1.911
Tb 5.600 12.247 8.555
Tb 4.994 6.605 4.614
Ce 0.000 0.000 0.000
Nd 4.634 3.944 2.755
Nd 2.563 11.039 7.711
```

Results
ΔE_f = 0.185 eV/atom

# PrNdInCo

A geometry-optimized PrNdInCo structure (PBE, the Alexandria database).

Cell and atoms, written as extended XYZ:
```
4
Lattice="-4.185 3.077 0.992 -4.371 -0.452 -2.943 -4.386 -2.094 2.084" Properties=species:S:1:pos:R:3 pbc="T T T"
Pr -3.236 0.133 0.034
Co -6.471 0.265 0.067
Nd -9.707 0.398 0.101
In 0.000 0.000 0.000
```

Results
ΔE_f = -0.094 eV/atom

# ZnAg2P

A geometry-optimized ZnAg2P structure (PBE, the Alexandria database).

Cell and atoms, written as extended XYZ:
```
4
Lattice="1.463 4.454 0.015 -1.463 4.454 0.015 0.000 0.954 5.126" Properties=species:S:1:pos:R:3 pbc="T T T"
Zn 0.000 4.454 0.015
Ag 0.000 2.944 3.872
Ag 0.000 6.918 1.285
P 0.000 0.477 2.563
```

Results
ΔE_f = 0.180 eV/atom

# K3Hf3CuSe8

A geometry-optimized K3Hf3CuSe8 structure (PBE, the Alexandria database).

Cell and atoms, written as extended XYZ:
```
15
Lattice="7.803 0.000 0.000 -3.901 6.753 -0.025 0.000 -4.469 7.794" Properties=species:S:1:pos:R:3 pbc="T T T"
K 0.000 0.000 0.000
K -1.951 3.377 -0.012
K 1.951 3.377 -0.012
Hf 3.901 -2.234 3.897
Hf 1.951 1.142 3.885
Hf -1.951 1.142 3.885
Cu 0.000 -2.234 3.897
Se 0.000 2.262 2.328
Se 3.902 0.023 5.442
Se 3.902 2.230 2.411
Se 0.000 0.055 5.359
Se 5.816 -1.094 2.419
Se -1.914 3.379 5.350
Se 1.984 -1.096 2.420
Se 1.917 3.381 5.349
```

Results
Electronic total energy = -0.4042 Ry per atom

# Pr2NdSm6Mg

A geometry-optimized Pr2NdSm6Mg structure (PBE, the Alexandria database).

Cell and atoms, written as extended XYZ:
```
20
Lattice="-3.607 7.586 -3.824 -0.771 -4.544 -7.827 -6.877 -0.522 5.911" Properties=species:S:1:pos:R:3 pbc="T T T"
Pr -6.818 -0.528 -3.902
Pr -1.922 -1.213 -1.525
Pr -4.437 3.049 -1.838
Pr -9.332 3.733 -4.215
Nd -1.818 -2.552 -8.456
Nd -9.437 5.072 2.716
Sm -5.709 -0.641 3.277
Sm -7.639 1.936 1.664
Sm -5.546 3.162 -9.017
Sm -3.616 0.585 -7.404
Sm -3.965 1.947 1.379
Sm -8.057 -1.526 0.578
Sm -7.289 0.574 -7.119
Sm -3.198 4.046 -6.318
Sm -4.341 -2.837 -3.140
Sm -3.696 0.632 -3.869
Sm -6.914 5.357 -2.600
Sm -7.559 1.888 -1.871
Mg -5.205 -0.321 -0.835
Mg -6.050 2.841 -4.905
```

Results
ΔE_f = 0.109 eV/atom

# BaNi9Ge4

A geometry-optimized BaNi9Ge4 structure (PBE, the Alexandria database).

Cell and atoms, written as extended XYZ:
```
28
Lattice="7.038 0.000 -3.968 -2.238 6.673 -3.968 0.018 0.025 8.258" Properties=species:S:1:pos:R:3 pbc="T T T"
Ba 3.609 5.017 -1.824
Ba 1.209 1.681 2.145
Ni 0.015 1.380 -1.090
Ni 4.786 5.293 -6.847
Ni 3.340 1.957 -3.417
Ni 1.460 4.716 -4.520
Ni 1.097 2.884 -2.879
Ni 3.704 3.789 -5.058
Ni -0.631 6.220 -4.520
Ni 5.431 0.453 -3.417
Ni -1.119 3.336 -1.984
Ni 3.519 0.000 -1.984
Ni 4.972 2.019 -1.397
Ni 3.811 0.405 0.522
Ni 6.187 1.342 0.758
Ni 3.944 2.956 0.758
Ni -0.153 4.679 1.718
Ni 1.008 6.293 -0.202
Ni 0.875 3.742 -0.437
Ni -1.368 5.356 -0.437
Ge 0.301 5.309 -2.332
Ge 5.667 2.985 -3.536
Ge 2.332 4.725 1.270
Ge 1.339 0.377 5.239
Ge 4.518 1.389 2.652
Ge -0.848 3.713 3.857
Ge 3.480 6.322 -4.918
Ge 2.487 1.973 -0.950
```

Results
ΔE_f = -0.313 eV/atom

# Tb6Sm8Tm

A geometry-optimized Tb6Sm8Tm structure (PBE, the Alexandria database).

Cell and atoms, written as extended XYZ:
```
15
Lattice="9.739 0.000 0.000 4.869 8.434 0.000 4.869 2.811 6.027" Properties=species:S:1:pos:R:3 pbc="T T T"
Tb 13.040 10.482 5.822
Tb 2.311 2.478 0.204
Tb 5.860 5.193 0.204
Tb 13.618 6.052 5.822
Tb 17.166 8.767 5.822
Tb 6.437 0.763 0.204
Sm 6.957 3.289 2.955
Sm 10.369 2.047 3.072
Sm 6.327 6.864 3.072
Sm 9.739 5.623 1.490
Sm 9.739 5.623 4.537
Sm 13.150 4.381 2.955
Sm 9.108 9.198 2.955
Sm 12.520 7.956 3.072
Tm 0.000 0.000 0.000
```

Results
ΔE_f = 0.176 eV/atom

# LaAlRe

A geometry-optimized LaAlRe structure (PBE, the Alexandria database).

Cell and atoms, written as extended XYZ:
```
3
Lattice="-0.317 2.216 3.806 -3.447 -2.317 -1.499 1.318 -3.261 2.009" Properties=species:S:1:pos:R:3 pbc="T T T"
Re -0.262 -2.013 3.711
Al 1.098 -2.718 1.674
La -1.964 -1.893 0.939
```

Results
ΔE_f = 0.135 eV/atom

# SrLi2Pd2

A geometry-optimized SrLi2Pd2 structure (PBE, the Alexandria database).

Cell and atoms, written as extended XYZ:
```
5
Lattice="4.180 0.000 0.000 0.000 4.180 0.000 2.090 2.090 5.826" Properties=species:S:1:pos:R:3 pbc="T T T"
Sr 0.000 0.000 0.000
Pd 2.090 2.090 1.344
Pd 4.180 4.180 4.483
Li 4.180 2.090 2.913
Li 2.090 4.180 2.913
```

Results
ΔE_f = -0.430 eV/atom

# Ho5TlRh2

A geometry-optimized Ho5TlRh2 structure (PBE, the Alexandria database).

Cell and atoms, written as extended XYZ:
```
16
Lattice="7.003 0.000 -3.306 -1.560 6.827 -3.306 -0.186 -0.233 8.677" Properties=species:S:1:pos:R:3 pbc="T T T"
Ho 2.433 4.656 2.276
Ho 3.981 6.597 -3.516
Ho 0.000 0.000 0.000
Ho 2.721 3.413 -3.306
Ho 1.276 -0.004 5.581
Ho 4.492 1.243 3.325
Ho -0.783 3.409 4.532
Ho 0.764 5.351 -1.259
Ho 6.040 3.184 -2.467
Ho 2.823 1.937 -0.210
Tl 3.989 5.003 -0.620
Tl 1.268 1.590 2.685
Rh 0.417 2.458 -1.653
Rh 4.263 0.955 -2.578
Rh 1.180 5.872 -4.034
Rh 5.025 4.368 -4.958
```

Results
ΔE_f = -0.616 eV/atom

# Ce2PrTlOs

A geometry-optimized Ce2PrTlOs structure (PBE, the Alexandria database).

Cell and atoms, written as extended XYZ:
```
5
Lattice="-2.333 -3.964 2.583 -0.293 -2.753 -4.490 5.217 -2.353 1.102" Properties=species:S:1:pos:R:3 pbc="T T T"
Ce 5.070 -3.729 -1.143
Ce 3.757 -7.087 -2.097
Pr 2.316 -3.930 -3.939
Tl 1.295 -4.535 -0.403
Os 0.001 -0.001 0.000
```

Results
ΔE_f = -0.085 eV/atom